Entry 1:
First-principles (PBE) data for a geometry-optimized Zn5W structure, as listed in Alexandria.

The value obtained for the formation energy is 0.98 eV/f.u. The total magnetization is 0.0 μB per formula unit. The calculated total energy comes out at -3.06 eV per atom. The density of states at the Fermi level comes out at 0.33 states/eV per atom. The polymorph energy (0 for the lowest one) comes out at 29 meV per atom.

a b c (Å): 7.249 7.249 4.584
angles (deg): 90.00 90.00 158.05
Atoms (fractional coordinates):
Zn  0.221  0.779  0.500
Zn  0.335  0.665  0.000
Zn  0.552  0.448  0.500
Zn  0.669  0.331  0.000
Zn  0.890  0.110  0.500
W  0.001  0.999  0.000


Entry 2:
First-principles (PBE) data for a geometry-optimized ZnW2 structure, as listed in Alexandria.

The value obtained for the formation energy is 0.80 eV/f.u. The total magnetization is 0.0 μB per formula unit. The calculated total energy comes out at -8.79 eV per atom. The density of states at the Fermi level comes out at 0.27 states/eV per atom. The polymorph energy (0 for the lowest one) comes out at 81 meV per atom.

a b c (Å): 7.771 7.771 4.617
angles (deg): 90.00 90.00 160.28
Atoms (fractional coordinates):
Zn  0.384  0.616  0.750
Zn  0.616  0.384  0.250
W  0.714  0.286  0.750
W  0.952  0.048  0.250
W  0.048  0.952  0.750
W  0.286  0.714  0.250


Entry 3:
First-principles (PBE) data for a geometry-optimized Zn3W structure, as listed in Alexandria.

The value obtained for the formation energy is 0.98 eV/f.u. The total magnetization is 0.0 μB per formula unit. The calculated total energy comes out at -3.95 eV per atom. The density of states at the Fermi level comes out at 0.43 states/eV per atom.

a b c (Å): 2.710 4.356 5.105
angles (deg): 90.00 85.57 90.00
Atoms (fractional coordinates):
W  0.000  0.000  0.000
Zn  0.587  0.500  0.763
Zn  0.500  0.000  0.500
Zn  0.413  0.500  0.237


Entry 4:
First-principles (PBE) data for a geometry-optimized ZnW2 structure, as listed in Alexandria.

The value obtained for the formation energy is 1.20 eV/f.u. The total magnetization is 0.0 μB per formula unit. The calculated total energy comes out at -8.66 eV per atom. The density of states at the Fermi level comes out at 0.57 states/eV per atom. The polymorph energy (0 for the lowest one) comes out at 213 meV per atom.

a b c (Å): 4.962 4.962 4.962
angles (deg): 104.65 104.65 119.61
Atoms (fractional coordinates):
Zn  0.250  0.250  0.000
Zn  0.750  0.750  0.000
W  0.350  0.150  0.500
W  0.850  0.350  0.201
W  0.150  0.650  0.799
W  0.650  0.850  0.500


Entry 5:
First-principles (PBE) data for a geometry-optimized Zn3W structure, as listed in Alexandria.

The value obtained for the formation energy is 2.33 eV/f.u. The total magnetization is 0.0 μB per formula unit. The calculated total energy comes out at -3.61 eV per atom. The density of states at the Fermi level comes out at 0.30 states/eV per atom.

a b c (Å): 4.966 4.966 4.966
angles (deg): 90.00 90.00 90.00
Atoms (fractional coordinates):
Zn  0.000  0.250  0.500
Zn  0.000  0.750  0.500
Zn  0.250  0.500  0.000
Zn  0.500  0.000  0.250
Zn  0.500  0.000  0.750
Zn  0.750  0.500  0.000
W  0.000  0.000  0.000
W  0.500  0.500  0.500


Entry 6:
First-principles (PBE) data for a geometry-optimized ZrZn3W structure, as listed in Alexandria.

The value obtained for the formation energy is 4.81 eV/f.u. The total magnetization is 0.0 μB per formula unit. The calculated total energy comes out at -4.10 eV per atom. The density of states at the Fermi level comes out at 0.34 states/eV per atom. The polymorph energy (0 for the lowest one) comes out at 0 meV per atom.

a b c (Å): 4.741 4.741 4.741
angles (deg): 90.00 90.00 90.00
Atoms (fractional coordinates):
Zn  0.000  0.500  0.000
Zn  0.000  0.000  0.500
Zn  0.500  0.000  0.000
Zr  0.500  0.500  0.500
W  0.000  0.000  0.000


Entry 7:
First-principles (PBE) data for a geometry-optimized ZrZnW2 structure, as listed in Alexandria.

The value obtained for the formation energy is 1.58 eV/f.u. The total magnetization is 0.0 μB per formula unit. The calculated total energy comes out at -8.54 eV per atom. The density of states at the Fermi level comes out at 0.91 states/eV per atom.

a b c (Å): 2.659 4.503 5.817
angles (deg): 90.00 90.00 90.00
Atoms (fractional coordinates):
W  0.000  0.000  0.024
W  0.000  0.000  0.476
Zn  0.500  0.500  0.250
Zr  0.500  0.500  0.750


Entry 8:
First-principles (PBE) data for a geometry-optimized ZrZn2W structure, as listed in Alexandria.

The value obtained for the formation energy is 0.36 eV/f.u. The total magnetization is 0.0 μB per formula unit. The calculated total energy comes out at -5.92 eV per atom. The density of states at the Fermi level comes out at 0.43 states/eV per atom. The polymorph energy (0 for the lowest one) comes out at 51 meV per atom.

a b c (Å): 2.797 2.797 8.776
angles (deg): 90.00 90.00 100.36
Atoms (fractional coordinates):
W  0.500  0.500  0.768
Zn  0.000  0.000  0.003
Zn  0.500  0.500  0.231
Zr  0.000  0.000  0.499


Entry 9:
First-principles (PBE) data for a geometry-optimized ZrZnW2 structure, as listed in Alexandria.

The value obtained for the formation energy is 1.28 eV/f.u. The total magnetization is 0.0 μB per formula unit. The calculated total energy comes out at -8.61 eV per atom. The density of states at the Fermi level comes out at 0.89 states/eV per atom.

a b c (Å): 4.908 4.908 5.358
angles (deg): 85.01 85.01 32.61
Atoms (fractional coordinates):
W  0.997  0.997  0.020
W  0.241  0.241  0.247
Zn  0.505  0.505  0.495
Zr  0.757  0.757  0.738


Entry 10:
First-principles (PBE) data for a geometry-optimized ZrZn2W structure, as listed in Alexandria.

The value obtained for the formation energy is 0.78 eV/f.u. The total magnetization is 0.0 μB per formula unit. The calculated total energy comes out at -5.82 eV per atom. The density of states at the Fermi level comes out at 0.37 states/eV per atom. The polymorph energy (0 for the lowest one) comes out at 157 meV per atom.

a b c (Å): 2.832 4.104 5.908
angles (deg): 90.00 90.00 90.00
Atoms (fractional coordinates):
W  0.500  0.500  0.767
Zn  0.000  0.000  0.996
Zn  0.500  0.500  0.231
Zr  0.000  0.000  0.505


Entry 11:
First-principles (PBE) data for a geometry-optimized ZrZn2W structure, as listed in Alexandria.

The value obtained for the formation energy is 0.38 eV/f.u. The total magnetization is 0.0 μB per formula unit. The calculated total energy comes out at -5.92 eV per atom. The density of states at the Fermi level comes out at 0.66 states/eV per atom. The polymorph energy (0 for the lowest one) comes out at 57 meV per atom.

a b c (Å): 2.804 2.804 8.430
angles (deg): 90.00 90.00 89.89
Atoms (fractional coordinates):
W  0.500  0.500  0.750
Zn  0.000  0.000  0.987
Zn  0.000  0.000  0.513
Zr  0.500  0.500  0.250


Entry 12:
First-principles (PBE) data for a geometry-optimized ZrZn2W structure, as listed in Alexandria.

The value obtained for the formation energy is 1.72 eV/f.u. The total magnetization is 0.0 μB per formula unit. The calculated total energy comes out at -5.58 eV per atom. The density of states at the Fermi level comes out at 1.23 states/eV per atom. The polymorph energy (0 for the lowest one) comes out at 391 meV per atom.

a b c (Å): 4.607 4.607 4.607
angles (deg): 60.00 60.00 60.00
Atoms (fractional coordinates):
W  0.500  0.500  0.500
Zn  0.000  0.000  0.000
Zn  0.250  0.250  0.250
Zr  0.750  0.750  0.750


Which value of calculated total energy does entry 10 give?
-5.82 eV per atom


Which value of calculated total energy does entry 9 give?
-8.61 eV per atom


Which of these has the lowest calculated total energy?
number 2